First-principles (PBE+U) data for an optimized crystal structure of Mn2P3O10, as listed in Alexandria via LeMat-Bulk.

a b c (Å): 8.661 4.765 9.113
angles (deg): 80.30 90.00 90.00
Site moments in Bohr magnetons follow the coordinates.
Sites, in units of the cell vectors:
Mn 0.561 0.050 0.675  4.40
Mn 0.061 0.950 0.325  4.40
Mn 0.439 0.950 0.325  4.40
Mn 0.939 0.050 0.675  4.40
P 0.750 0.337 0.179  0.01
P 0.250 0.663 0.821  0.01
P 0.250 0.398 0.546  0.02
P 0.750 0.602 0.454  0.02
P 0.750 0.486 0.851  0.02
P 0.250 0.514 0.149  0.02
O 0.102 0.828 0.800  0.00
O 0.898 0.766 0.480  -0.02
O 0.250 0.703 0.456  -0.01
O 0.750 0.541 0.021  0.00
O 0.602 0.172 0.200  0.00
O 0.101 0.661 0.179  -0.02
O 0.750 0.584 0.280  0.00
O 0.250 0.416 0.720  0.00
O 0.399 0.661 0.179  -0.02
O 0.250 0.195 0.236  -0.09
O 0.750 0.805 0.764  -0.09
O 0.602 0.766 0.480  -0.02
O 0.102 0.234 0.520  -0.02
O 0.750 0.297 0.544  -0.01
O 0.601 0.339 0.821  -0.02
O 0.898 0.172 0.200  0.00
O 0.899 0.339 0.821  -0.02
O 0.250 0.459 0.979  0.00
O 0.398 0.234 0.520  -0.02
O 0.398 0.828 0.800  0.00

## Properties
uncorrected energy: -7.43 eV/atom
size of the total moment: 0.600 μB/atom
volume: 370.7 Å³/cell